The following is a DFT calculation (GGA-PBE) of a geometry-optimized RbErUSe4 structure.

It has space group Imma (No. 74), with a = 8.8119 Å, b = 8.9444 Å, c = 12.2713 Å, α = 90.00°, β = 90.00° and γ = 90.00°. Symmetry generates all atoms from Rb at (0.0000, 0.2500, 0.1297), Er at (0.2500, 0.2500, 0.7500), U at (0.0000, 0.0000, 0.5000), Se at (0.0000, 0.0440, 0.7301) and Se at (0.2052, 0.2500, 0.5165).

The total energy comes out at -161.919 eV for the cell shown. The total magnetic moment is 2.00 μB/f.u. As for the density of states at the Fermi level: 18.3 states/eV per cell. As for the uncorrected formation energy: -1.389 eV per atom.